(i)
The following is a DFT calculation (PBE) of a geometry-optimized Tb2Pr4Ho3 structure.

Summary:
Magnetization   0.00 μB/f.u.
Fermi-level density of states   1.84 states/eV/atom

The structure in CIF format:
```
data_Tb2Pr4Ho3
_chemical_formula_sum 'Tb2 Pr4 Ho3'
_space_group_name_H-M_alt 'P 3 m 1'
_space_group_IT_number 156
_space_group_name_Hall 'P 3 -2"'
_cell_length_a 3.6268
_cell_length_b 3.6268
_cell_length_c 26.9124
_cell_angle_alpha 90.00
_cell_angle_beta 90.00
_cell_angle_gamma 120.00
loop_
_atom_site_label
_atom_site_type_symbol
_atom_site_fract_x
_atom_site_fract_y
_atom_site_fract_z
_atom_site_occupancy
Tb1 Tb 0.0000 0.0000 0.0000 1
Tb2 Tb 0.0000 0.0000 0.2073 1
Pr1 Pr 0.0000 0.0000 0.3388 1
Pr2 Pr 0.0000 0.0000 0.5543 1
Pr3 Pr 0.3333 0.6667 0.6715 1
Pr4 Pr 0.3333 0.6667 0.8892 1
Ho1 Ho 0.0000 0.0000 0.7797 1
Ho2 Ho 0.3333 0.6667 0.1048 1
Ho3 Ho 0.3333 0.6667 0.4451 1
```



(ii)
The following is a DFT calculation (PBE) of a geometry-optimized Tb2Pr4Ho3 structure.

Summary:
Magnetization   0.00 μB/f.u.
Fermi-level density of states   1.44 states/eV/atom

The structure in CIF format:
```
data_Tb2Pr4Ho3
_chemical_formula_sum 'Tb4 Pr8 Ho6'
_space_group_name_H-M_alt 'P -1'
_space_group_IT_number 2
_space_group_name_Hall '-P 1'
_cell_length_a 7.141
_cell_length_b 8.572
_cell_length_c 10.463
_cell_angle_alpha 99.11
_cell_angle_beta 100.13
_cell_angle_gamma 101.84
loop_
_atom_site_label
_atom_site_type_symbol
_atom_site_fract_x
_atom_site_fract_y
_atom_site_fract_z
_atom_site_occupancy
Tb1 Tb 0.059 0.334 0.392 1
Tb2 Tb 0.175 0.024 0.163 1
Pr1 Pr 0.023 0.663 0.944 1
Pr2 Pr 0.142 0.328 0.736 1
Pr3 Pr 0.325 0.975 0.835 1
Pr4 Pr 0.444 0.665 0.609 1
Ho1 Ho 0.250 0.000 0.498 1
Ho2 Ho 0.362 0.675 0.261 1
Ho3 Ho 0.475 0.336 0.056 1
```



So which one is most stable? That would be (ii), about 14 meV/atom below the next structure.



(i)
The following is a DFT calculation (PBE) of a geometry-optimized Tb3PrHo6 structure.

Summary:
Magnetization   0.00 μB/f.u.
Fermi-level density of states   2.07 states/eV/atom

The structure in CIF format:
```
data_Tb3PrHo6
_chemical_formula_sum 'Tb9 Pr3 Ho18'
_space_group_name_H-M_alt 'R 3'
_space_group_IT_number 146
_space_group_name_Hall 'R 3'
_cell_length_a 9.8270
_cell_length_b 9.8270
_cell_length_c 11.6331
_cell_angle_alpha 90.00
_cell_angle_beta 90.00
_cell_angle_gamma 120.00
loop_
_atom_site_label
_atom_site_type_symbol
_atom_site_fract_x
_atom_site_fract_y
_atom_site_fract_z
_atom_site_occupancy
Tb1 Tb 0.0000 0.0000 0.0000 1
Tb2 Tb 0.0000 0.0000 0.2463 1
Tb3 Tb 0.0000 0.0000 0.4937 1
Pr1 Pr 0.0000 0.0000 0.7461 1
Ho1 Ho 0.9996 0.3308 0.7454 1
Ho2 Ho 0.0054 0.6672 0.9120 1
```



(ii)
The following is a DFT calculation (PBE) of a geometry-optimized Tb3PrHo6 structure.

Summary:
Magnetization   0.00 μB/f.u.
Fermi-level density of states   1.40 states/eV/atom

The structure in CIF format:
```
data_Tb3PrHo6
_chemical_formula_sum 'Tb12 Pr4 Ho24'
_space_group_name_H-M_alt 'C m c 21'
_space_group_IT_number 36
_space_group_name_Hall 'C 2c -2'
_cell_length_a 11.031
_cell_length_b 18.927
_cell_length_c 6.189
_cell_angle_alpha 90.00
_cell_angle_beta 90.00
_cell_angle_gamma 90.00
loop_
_atom_site_label
_atom_site_type_symbol
_atom_site_fract_x
_atom_site_fract_y
_atom_site_fract_z
_atom_site_occupancy
Tb1 Tb 0.000 0.109 0.000 1
Tb2 Tb 0.174 0.391 0.389 1
Pr1 Pr 0.000 0.293 0.083 1
Ho1 Ho 0.000 0.215 0.569 1
Ho2 Ho 0.000 0.454 0.844 1
Ho3 Ho 0.165 0.047 0.460 1
Ho4 Ho 0.248 0.289 0.796 1
```



So which one is most stable? That would be (ii), about 135 meV/atom below the next structure.



(i)
The following is a DFT calculation (PBE) of a geometry-optimized Tb8Pr2Ho structure.

Summary:
Magnetization   0.00 μB/f.u.
Fermi-level density of states   1.35 states/eV/atom

The structure in CIF format:
```
data_Tb8Pr2Ho
_chemical_formula_sum 'Tb16 Pr4 Ho2'
_space_group_name_H-M_alt 'C 1 2/m 1'
_space_group_IT_number 12
_space_group_name_Hall '-C 2y'
_cell_length_a 9.065
_cell_length_b 16.178
_cell_length_c 5.932
_cell_angle_alpha 90.00
_cell_angle_beta 122.87
_cell_angle_gamma 90.00
loop_
_atom_site_label
_atom_site_type_symbol
_atom_site_fract_x
_atom_site_fract_y
_atom_site_fract_z
_atom_site_occupancy
Tb1 Tb 0.000 0.207 0.000 1
Tb2 Tb 0.075 0.500 0.797 1
Tb3 Tb 0.214 0.115 0.673 1
Pr1 Pr 0.000 0.307 0.500 1
Ho1 Ho 0.000 0.000 0.000 1
```



(ii)
The following is a DFT calculation (PBE) of a geometry-optimized Tb8Pr2Ho structure.

Summary:
Magnetization   0.00 μB/f.u.
Fermi-level density of states   1.41 states/eV/atom

The structure in CIF format:
```
data_Tb8Pr2Ho
_chemical_formula_sum 'Tb16 Pr4 Ho2'
_space_group_name_H-M_alt 'C 1 2/m 1'
_space_group_IT_number 12
_space_group_name_Hall '-C 2y'
_cell_length_a 18.271
_cell_length_b 5.069
_cell_length_c 8.022
_cell_angle_alpha 90.00
_cell_angle_beta 105.27
_cell_angle_gamma 90.00
loop_
_atom_site_label
_atom_site_type_symbol
_atom_site_fract_x
_atom_site_fract_y
_atom_site_fract_z
_atom_site_occupancy
Tb1 Tb 0.044 0.000 0.228 1
Tb2 Tb 0.089 0.500 0.953 1
Tb3 Tb 0.135 0.000 0.677 1
Tb4 Tb 0.181 0.500 0.408 1
Pr1 Pr 0.227 0.000 0.138 1
Ho1 Ho 0.000 0.500 0.500 1
```



So which one is most stable? That would be (ii), about 135 meV/atom below the next structure.



(i)
The following is a DFT calculation (PBE) of a geometry-optimized Tb5PrHo2 structure.

Summary:
Magnetization   0.00 μB/f.u.
Fermi-level density of states   1.27 states/eV/atom

The structure in CIF format:
```
data_Tb5PrHo2
_chemical_formula_sum 'Tb10 Pr2 Ho4'
_space_group_name_H-M_alt 'P b a m'
_space_group_IT_number 55
_space_group_name_Hall '-P 2 2ab'
_cell_length_a 7.148
_cell_length_b 14.298
_cell_length_c 5.037
_cell_angle_alpha 90.00
_cell_angle_beta 90.00
_cell_angle_gamma 90.00
loop_
_atom_site_label
_atom_site_type_symbol
_atom_site_fract_x
_atom_site_fract_y
_atom_site_fract_z
_atom_site_occupancy
Tb1 Tb 0.000 0.000 0.000 1
Tb2 Tb 0.001 0.249 0.000 1
Tb3 Tb 0.249 0.874 0.500 1
Pr1 Pr 0.000 0.500 0.000 1
Ho1 Ho 0.250 0.126 0.500 1
```



(ii)
The following is a DFT calculation (PBE) of a geometry-optimized Tb5PrHo2 structure.

Summary:
Magnetization   0.00 μB/f.u.
Fermi-level density of states   1.46 states/eV/atom

The structure in CIF format:
```
data_Tb5PrHo2
_chemical_formula_sum 'Tb10 Pr2 Ho4'
_space_group_name_H-M_alt 'P -1'
_space_group_IT_number 2
_space_group_name_Hall '-P 1'
_cell_length_a 6.649
_cell_length_b 8.895
_cell_length_c 9.511
_cell_angle_alpha 88.40
_cell_angle_beta 85.37
_cell_angle_gamma 68.15
loop_
_atom_site_label
_atom_site_type_symbol
_atom_site_fract_x
_atom_site_fract_y
_atom_site_fract_z
_atom_site_occupancy
Tb1 Tb 0.044 0.248 0.111 1
Tb2 Tb 0.199 0.497 0.409 1
Tb3 Tb 0.293 0.751 0.610 1
Tb4 Tb 0.302 0.498 0.089 1
Tb5 Tb 0.343 0.318 0.750 1
Pr1 Pr 0.062 0.874 0.249 1
Ho1 Ho 0.279 0.104 0.420 1
Ho2 Ho 0.384 0.895 0.920 1
```



So which one is most stable? That would be (i), about 138 meV/atom below the next structure.



(i)
The following is a DFT calculation (PBE) of a geometry-optimized Tb2PrHo3 structure.

Summary:
Magnetization   0.00 μB/f.u.
Fermi-level density of states   1.62 states/eV/atom

The structure in CIF format:
```
data_Tb2PrHo3
_chemical_formula_sum 'Tb8 Pr4 Ho12'
_space_group_name_H-M_alt 'C 1 2/c 1'
_space_group_IT_number 15
_space_group_name_Hall '-C 2yc'
_cell_length_a 8.973
_cell_length_b 9.787
_cell_length_c 8.966
_cell_angle_alpha 90.00
_cell_angle_beta 102.38
_cell_angle_gamma 90.00
loop_
_atom_site_label
_atom_site_type_symbol
_atom_site_fract_x
_atom_site_fract_y
_atom_site_fract_z
_atom_site_occupancy
Tb1 Tb 0.124 0.247 0.125 1
Pr1 Pr 0.000 0.407 0.750 1
Ho1 Ho 0.000 0.074 0.750 1
Ho2 Ho 0.245 0.416 0.495 1
```



(ii)
The following is a DFT calculation (PBE) of a geometry-optimized Tb2PrHo3 structure.

Summary:
Magnetization   0.00 μB/f.u.
Fermi-level density of states   1.20 states/eV/atom

The structure in CIF format:
```
data_Tb2PrHo3
_chemical_formula_sum 'Tb8 Pr4 Ho12'
_space_group_name_H-M_alt 'C m c m'
_space_group_IT_number 63
_space_group_name_Hall '-C 2c 2'
_cell_length_a 10.753
_cell_length_b 6.205
_cell_length_c 11.549
_cell_angle_alpha 90.00
_cell_angle_beta 90.00
_cell_angle_gamma 90.00
loop_
_atom_site_label
_atom_site_type_symbol
_atom_site_fract_x
_atom_site_fract_y
_atom_site_fract_z
_atom_site_occupancy
Tb1 Tb 0.166 0.167 0.250 1
Pr1 Pr 0.000 0.334 0.750 1
Ho1 Ho 0.000 0.000 0.000 1
Ho2 Ho 0.168 0.500 0.000 1
```



So which one is most stable? That would be (ii), about 54 meV/atom below the next structure.



(i)
The following is a DFT calculation (PBE) of a geometry-optimized TbPr2Ho9 structure.

Summary:
Magnetization   0.00 μB/f.u.
Fermi-level density of states   1.63 states/eV/atom

The structure in CIF format:
```
data_TbPr2Ho9
_chemical_formula_sum 'Tb1 Pr2 Ho9'
_space_group_name_H-M_alt 'P 6/m m m'
_space_group_IT_number 191
_space_group_name_Hall '-P 6 2'
_cell_length_a 11.2660
_cell_length_b 11.2660
_cell_length_c 3.4934
_cell_angle_alpha 90.00
_cell_angle_beta 90.00
_cell_angle_gamma 120.00
loop_
_atom_site_label
_atom_site_type_symbol
_atom_site_fract_x
_atom_site_fract_y
_atom_site_fract_z
_atom_site_occupancy
Tb1 Tb 0.0000 0.0000 0.0000 1
Pr1 Pr 0.3333 0.6667 0.0000 1
Ho1 Ho 0.0000 0.5000 0.0000 1
Ho2 Ho 0.1735 0.3470 0.5000 1
```



(ii)
The following is a DFT calculation (PBE) of a geometry-optimized TbPr2Ho9 structure.

Summary:
Magnetization   0.00 μB/f.u.
Fermi-level density of states   1.42 states/eV/atom

The structure in CIF format:
```
data_TbPr2Ho9
_chemical_formula_sum 'Tb1 Pr2 Ho9'
_space_group_name_H-M_alt 'P 4/m m m'
_space_group_IT_number 123
_space_group_name_Hall '-P 4 2'
_cell_length_a 5.032
_cell_length_b 5.032
_cell_length_c 15.091
_cell_angle_alpha 90.00
_cell_angle_beta 90.00
_cell_angle_gamma 90.00
loop_
_atom_site_label
_atom_site_type_symbol
_atom_site_fract_x
_atom_site_fract_y
_atom_site_fract_z
_atom_site_occupancy
Tb1 Tb 0.000 0.000 0.000 1
Pr1 Pr 0.000 0.000 0.333 1
Ho1 Ho 0.000 0.500 0.164 1
Ho2 Ho 0.000 0.500 0.500 1
Ho3 Ho 0.500 0.500 0.000 1
Ho4 Ho 0.500 0.500 0.332 1
```



So which one is most stable? That would be (ii), about 50 meV/atom below the next structure.